[1]
DFT (PBE) results for Ac3Ho2Pb3 after structural relaxation.

The structure in POSCAR format:
```
Ac3Ho2Pb3
1.0
6.9115 0.0000 0.0000
0.0000 8.3805 -4.8385
0.0000 0.0000 9.6770
Ac Ho Pb
6 4 6
Cartesian
5.1836 2.0560 -1.1870
5.1836 6.3246 3.6515
5.1836 0.0000 2.3740
1.7279 6.3246 -3.6515
1.7279 2.0560 1.1870
1.7279 0.0000 7.3030
0.0000 2.7935 4.8385
3.4557 5.5870 0.0000
0.0000 5.5870 0.0000
3.4557 2.7935 4.8385
5.1836 5.0184 -2.8974
5.1836 3.3621 1.9411
5.1836 0.0000 5.7948
1.7279 3.3621 -1.9411
1.7279 5.0184 2.8974
1.7279 0.0000 3.8822
```

Values from the calculation:
ΔE_f, eV per atom: -0.478
E above lowest polymorph, eV per atom: 0.000
V, Å³/atom: 35.032
Uncorrected energy, eV per atom: -4.554

[2]
DFT (PBE) results for LiTc2Hg after structural relaxation.

The structure in POSCAR format:
```
LiTc2Hg
1.0
-2.3222 4.7791 -0.8560
-3.2268 2.3255 3.6255
4.8721 -2.1235 -0.8473
Hg Li Tc
1 1 2
Cartesian
-0.1123 3.1039 -0.1593
-0.5646 1.8772 2.0815
-0.0157 0.0201 0.0078
-2.7588 3.5322 1.3769
```

Values from the calculation:
ΔE_f, eV per atom: 0.326
V, Å³/atom: 15.471
Uncorrected energy, eV per atom: -5.411

[3]
DFT (PBE) results for Y3TmS4 after structural relaxation.

The structure in POSCAR format:
```
Y3TmS4
1.0
5.5159 0.0000 0.0000
0.0000 5.5159 0.0000
0.0000 0.0000 5.5159
Y Tm S
3 1 4
Cartesian
0.0000 2.7579 2.7579
2.7579 0.0000 2.7579
2.7579 2.7579 0.0000
0.0000 0.0000 0.0000
2.7579 0.0000 0.0000
0.0000 2.7579 0.0000
0.0000 0.0000 2.7579
2.7579 2.7579 2.7579
```

Values from the calculation:
E above lowest polymorph, eV per atom: 0.011
Energy relative to the elements, uncorrected, kcal/mol of atoms: -45.3
V, Å³/atom: 20.977
Uncorrected energy, eV per atom: -7.013

[4]
DFT (PBE) results for RbMo2Cl after structural relaxation.

The structure in POSCAR format:
```
RbMo2Cl
1.0
-3.4745 2.4745 0.1405
-1.8401 -2.7374 2.7084
2.0124 5.8991 10.6922
Mo Rb Cl
4 2 2
Cartesian
-0.6883 1.8173 3.0505
-2.2914 0.9350 4.4323
-1.1246 3.3723 10.0308
-2.5001 5.1477 9.5686
0.0000 0.0000 0.0000
-2.0597 4.1211 6.1285
-2.6573 -0.1315 1.4244
-1.2425 1.5151 7.4125
```

Values from the calculation:
E above lowest polymorph, eV per atom: 0.000
Energy relative to the elements, uncorrected, kcal/mol of atoms: 25.0
V, Å³/atom: 27.328
Uncorrected energy, eV per atom: -5.036